Material: Li2CeCoO4
Method: DFT, PBE with a Hubbard U
State: optimized geometry

abc: 4.9654 4.9654 4.9654
angles: 96.92 116.09 116.09
Closest atoms and distances in Å follow each position.
Fractional positions:
O  0.0000  0.1219  0.5883  1 Co 1.98, 2 Li 1.99, 1 Ce 2.20
O  0.0000  0.5883  0.1219  1 Co 1.98, 2 Li 1.99, 1 Ce 2.20
O  0.4663  0.8781  0.8781  1 Co 1.98, 2 Li 1.99, 1 Ce 2.20
O  0.5337  0.4117  0.4117  1 Co 1.98, 2 Li 1.99, 1 Ce 2.20
Ce  0.0000  0.0000  0.0000  4 O 2.20
Li  0.5000  0.2500  0.7500  4 O 1.99
Li  0.5000  0.7500  0.2500  4 O 1.99
Co  0.0000  0.5000  0.5000  4 O 1.98

Results
- DFT total energy (eV for the cell shown) = -52.12
- volume (Å³/cell) = 90.97

Material: Li2Ce2CoO6
Method: DFT, PBE with a Hubbard U
State: optimized geometry

abc: 5.6014 5.6014 5.7105
angles: 60.63 60.63 60.00
Closest atoms and distances in Å follow each position.
Fractional positions:
O  0.2383  0.2383  0.7378  1 Li 1.77, 1 Co 1.92
O  0.2145  0.7617  0.2622  1 Li 1.77, 1 Co 1.92
O  0.7617  0.7617  0.2622  1 Li 1.77, 1 Co 1.92
O  0.2383  0.7855  0.7378  1 Li 1.77, 1 Co 1.92
O  0.7855  0.2383  0.7378  1 Li 1.77, 1 Co 1.92
O  0.7617  0.2145  0.2622  1 Li 1.77, 1 Co 1.92
Ce  0.7906  0.7906  0.6281  3 O 2.26
Ce  0.2094  0.2094  0.3719  3 O 2.26
Li  0.5770  0.5770  0.2691  3 O 1.77
Li  0.4230  0.4230  0.7309  3 O 1.77
Co  0.0000  0.0000  0.0000  6 O 1.92

Results
- DFT total energy (eV for the cell shown) = -74.27
- D(E_F) (states/eV/atom) = 0.480
- volume (Å³/cell) = 127.89